Record 1
Entry from the Alexandria database: a crystal of CdGa2Rh2 relaxed with PBEsol (SCAN).

ΔH_f (0 K) (eV/atom): -0.5339
Space group: P4/mbm, No. 127
Raw total energy (eV/cell): -266.64

Unit cell a=2.912 b=7.189 c=7.189 alpha=90.00 beta=90.00 gamma=90.00
Fractional coordinates of all 10 atoms:
Ga: 0.500 0.851 0.351
Cd: 0.000 0.500 0.500
Rh: 0.000 0.354 0.854
Rh: 0.000 0.854 0.646
Rh: 0.000 0.146 0.354
Cd: 0.000 0.000 0.000
Ga: 0.500 0.149 0.649
Rh: 0.000 0.646 0.146
Ga: 0.500 0.351 0.149
Ga: 0.500 0.649 0.851


Record 2
Entry from the Alexandria database: a crystal of Sr2CdGaRu relaxed with PBEsol (SCAN).

ΔH_f (0 K) (eV/atom): 0.3674
Space group: P4/mmm, No. 123
Raw total energy (eV/cell): -124.30

Unit cell a=5.178 b=5.444 c=5.444 alpha=90.00 beta=90.00 gamma=90.00
Fractional coordinates of all 5 atoms:
Ga: 0.500 0.500 0.500
Cd: 0.500 0.000 0.000
Ru: 0.000 0.000 0.000
Sr: 0.000 0.000 0.500
Sr: 0.000 0.500 0.000


Record 3
Entry from the Alexandria database: a crystal of CdGa2Sb2 relaxed with PBEsol (SCAN).

Formation energy without anion corrections (meV/atom): 117
Space group: I4/mmm, No. 139
Raw total energy (eV/cell): -137.04

Unit cell a=4.100 b=4.100 c=7.832 alpha=105.17 beta=105.17 gamma=90.00
Fractional coordinates of all 5 atoms:
Ga: 0.250 0.750 0.500
Sb: 0.617 0.617 0.235
Ga: 0.750 0.250 0.500
Cd: 0.000 0.000 0.000
Sb: 0.383 0.383 0.765


Record 4
Entry from the Alexandria database: a crystal of CdGaSb2 relaxed with PBEsol (SCAN).

Formation energy without anion corrections (meV/atom): -15
Space group: I-42d, No. 122
Raw total energy (eV/cell): -242.68

Unit cell a=6.347 b=6.347 c=7.542 alpha=114.89 beta=114.89 gamma=90.00
Fractional coordinates of all 8 atoms:
Ga: 0.500 0.500 0.000
Cd: 0.000 0.000 0.000
Sb: 0.394 0.875 0.250
Sb: 0.125 0.144 0.750
Sb: 0.856 0.375 0.250
Cd: 0.250 0.750 0.500
Ga: 0.750 0.250 0.500
Sb: 0.625 0.606 0.750


Record 5
Entry from the Alexandria database: a crystal of ScCd2Ga2 relaxed with PBEsol (SCAN).

ΔH_f (0 K) (eV/atom): -0.2665
Space group: I4/mmm, No. 139
Raw total energy (eV/cell): -109.09

Unit cell a=4.126 b=4.126 c=6.432 alpha=108.71 beta=108.71 gamma=90.00
Fractional coordinates of all 5 atoms:
Ga: 0.601 0.601 0.202
Cd: 0.750 0.250 0.500
Sc: 0.000 0.000 0.000
Cd: 0.250 0.750 0.500
Ga: 0.399 0.399 0.798


Record 6
Entry from the Alexandria database: a crystal of CdGaSe3 relaxed with PBEsol (SCAN).

Formation energy without anion corrections (meV/atom): 228
Space group: Pm-3m, No. 221
Raw total energy (eV/cell): -105.85

Unit cell a=4.908 b=4.908 c=4.908 alpha=90.00 beta=90.00 gamma=90.00
Fractional coordinates of all 5 atoms:
Se: 0.500 0.000 0.000
Se: 0.000 0.000 0.500
Ga: 0.000 0.000 0.000
Cd: 0.500 0.500 0.500
Se: 0.000 0.500 0.000


Record 7
Entry from the Alexandria database: a crystal of CdGa2Se relaxed with PBEsol (SCAN).

Formation energy without anion corrections (meV/atom): 186
Space group: Fm-3m, No. 225
Raw total energy (eV/cell): -82.44

Unit cell a=4.906 b=4.906 c=4.906 alpha=60.00 beta=60.00 gamma=60.00
Fractional coordinates of all 4 atoms:
Cd: 0.500 0.500 0.500
Ga: 0.250 0.250 0.250
Ga: 0.750 0.750 0.750
Se: 0.000 0.000 0.000


Record 8
Entry from the Alexandria database: a crystal of CdGa2Si2 relaxed with PBEsol (SCAN).

Formation energy without anion corrections (meV/atom): 271
Space group: I4/mmm, No. 139
Raw total energy (eV/cell): -81.79

Unit cell a=4.414 b=4.414 c=5.762 alpha=112.52 beta=112.52 gamma=90.00
Fractional coordinates of all 5 atoms:
Si: 0.381 0.381 0.761
Si: 0.619 0.619 0.239
Cd: 0.000 0.000 0.000
Ga: 0.750 0.250 0.500
Ga: 0.250 0.750 0.500


Record 9
Entry from the Alexandria database: a crystal of CdGaSn2 relaxed with PBEsol (SCAN).

ΔH_f (0 K) (eV/atom): 0.1419
Relative energy among the computed polymorphs (eV/f.u.): 0.00
Space group: I-42d, No. 122
Raw total energy (eV/cell): -236.07

Unit cell a=4.304 b=4.304 c=10.870 alpha=101.42 beta=101.42 gamma=90.00
Fractional coordinates of all 8 atoms:
Sn: 0.625 0.622 0.750
Cd: 0.000 0.000 0.000
Ga: 0.500 0.500 0.000
Sn: 0.872 0.375 0.250
Ga: 0.750 0.250 0.500
Cd: 0.250 0.750 0.500
Sn: 0.125 0.128 0.750
Sn: 0.378 0.875 0.250


Record 10
Entry from the Alexandria database: a crystal of CdGaSn2 relaxed with PBEsol (SCAN).

ΔH_f (0 K) (eV/atom): 0.2131
Relative energy among the computed polymorphs (eV/f.u.): 0.28
Space group: Fm-3m, No. 225
Raw total energy (eV/cell): -117.75

Unit cell a=5.078 b=5.078 c=5.078 alpha=60.00 beta=60.00 gamma=60.00
Fractional coordinates of all 4 atoms:
Ga: 0.000 0.000 0.000
Sn: 0.750 0.750 0.750
Sn: 0.250 0.250 0.250
Cd: 0.500 0.500 0.500


Record 11
Entry from the Alexandria database: a crystal of SrCd3Ga relaxed with PBEsol (SCAN).

ΔH_f (0 K) (eV/atom): -0.0295
Space group: Pm-3m, No. 221
Raw total energy (eV/cell): -130.01

Unit cell a=5.157 b=5.157 c=5.157 alpha=90.00 beta=90.00 gamma=90.00
Fractional coordinates of all 5 atoms:
Cd: 0.000 0.000 0.500
Cd: 0.000 0.500 0.000
Sr: 0.500 0.500 0.500
Ga: 0.000 0.000 0.000
Cd: 0.500 0.000 0.000


Record 12
Entry from the Alexandria database: a crystal of Sr2CdGa relaxed with PBEsol (SCAN).

ΔH_f (0 K) (eV/atom): -0.4006
Space group: Fm-3m, No. 225
Raw total energy (eV/cell): -92.91

Unit cell a=5.510 b=5.510 c=5.510 alpha=60.00 beta=60.00 gamma=60.00
Fractional coordinates of all 4 atoms:
Ga: 0.000 0.000 0.000
Sr: 0.250 0.250 0.250
Sr: 0.750 0.750 0.750
Cd: 0.500 0.500 0.500


| no. | theoretical density (g cm⁻³) | calculated volume (Å³ per atom) |
| --- | --- | --- |
| 1 | 10.1 | 15.0 |
| 2 | 5.0 | 30.7 |
| 3 | 6.7 | 24.5 |
| 4 | 5.8 | 30.5 |
| 5 | 7.0 | 19.5 |
| 6 | 5.9 | 23.6 |
| 7 | 6.6 | 20.9 |
| 8 | 5.4 | 18.9 |
| 9 | 7.2 | 24.2 |
| 10 | 7.5 | 23.2 |
| 11 | 6.0 | 27.4 |
| 12 | 5.0 | 29.6 |